# PBE NdGe2Pt7, relaxed
# Total energy: -5.95 eV/atom
# Energy of formation: -316 meV/atom
# Mass density: 13.4 Mg/m³
data_NdGe2Pt7
_cell_length_a 7.285
_cell_length_b 12.426
_cell_length_c 4.545
_cell_angle_alpha 90.00
_cell_angle_beta 90.00
_cell_angle_gamma 90.00
_space_group_name_H-M_alt 'C m m m'
_space_group_IT_number 65
_space_group_name_Hall '-C 2 2'
loop_
_atom_site_label
_atom_site_fract_x
_atom_site_fract_y
_atom_site_fract_z
_atom_site_occupancy
Nd1 0.000 0.000 0.000 1
Ge1 0.000 0.302 0.500 1
Pt1 0.000 0.229 0.000 1
Pt2 0.000 0.500 0.500 1
Pt3 0.188 0.117 0.500 1